Entry 1:
The following is a PBE calculation of ZnPRhS2 after structural relaxation, from the Alexandria database.

Summary:
ΔE to the lowest computed polymorph	0.538	eV per atom
magnetic moment	0.2	μB/cell
total DFT energy (no corrections)	-17.12	eV/cell
raw formation energy	1.033	eV per atom

Lattice parameters (Å, degrees): 4.577 4.577 4.499 90.00 90.00 90.00
Last column: magnetic moment on the atom in μB.
Fractional positions:
P (0.000, 0.000, 0.500)  -0.01
S (0.500, 0.000, 0.000)  0.02
S (0.000, 0.500, 0.000)  0.02
Zn (0.000, 0.000, 0.000)  0.00
Rh (0.500, 0.500, 0.500)  0.20


Entry 2:
The following is a PBE calculation of Tb5Nd2Dy6 after structural relaxation, from the Alexandria database.

Summary:
magnetic moment	0.0	μB/cell
energy of formation from the pure elements	98	meV per atom
total DFT energy (no corrections)	-118.06	eV/cell

Lattice parameters (Å, degrees): 3.588 11.707 20.295 90.00 90.00 90.00
Fractional positions:
Dy (0.000, 0.559, 0.422)
Dy (0.000, 0.078, 0.366)
Dy (0.000, 0.422, 0.866)
Dy (0.500, 0.821, 0.372)
Dy (0.500, 0.321, 0.128)
Dy (0.000, 0.922, 0.634)
Dy (0.500, 0.679, 0.872)
Dy (0.000, 0.441, 0.578)
Dy (0.000, 0.578, 0.134)
Dy (0.500, 0.179, 0.628)
Dy (0.000, 0.059, 0.078)
Dy (0.000, 0.941, 0.922)
Tb (0.500, 0.800, 0.052)
Tb (0.500, 0.700, 0.552)
Tb (0.500, 0.000, 0.500)
Tb (0.500, 0.500, 0.000)
Tb (0.500, 0.091, 0.222)
Tb (0.500, 0.300, 0.448)
Tb (0.500, 0.200, 0.948)
Tb (0.500, 0.909, 0.778)
Tb (0.500, 0.591, 0.278)
Tb (0.500, 0.409, 0.722)
Nd (0.000, 0.831, 0.216)
Nd (0.000, 0.331, 0.284)
Nd (0.000, 0.169, 0.784)
Nd (0.000, 0.669, 0.716)


Entry 3:
The following is a PBE calculation of La2DyZnTe5 after structural relaxation, from the Alexandria database.

Summary:
magnetic moment	0.0	μB/cell
total DFT energy (no corrections)	-86.01	eV/cell
raw formation energy	-1.285	eV per atom

Lattice parameters (Å, degrees): 4.365 9.924 13.288 90.00 90.00 102.71
Fractional positions:
Zn (0.437, 0.874, 0.453)
Zn (0.563, 0.126, 0.953)
Te (0.712, 0.424, 0.173)
Te (0.643, 0.286, 0.501)
Te (0.501, 0.002, 0.279)
Te (0.499, 0.998, 0.779)
Te (0.311, 0.623, 0.349)
Te (0.689, 0.377, 0.849)
Te (0.044, 0.088, 0.063)
Te (0.956, 0.912, 0.563)
Te (0.288, 0.576, 0.673)
Te (0.357, 0.714, 0.001)
La (0.115, 0.230, 0.684)
La (0.885, 0.770, 0.184)
La (0.872, 0.744, 0.810)
La (0.128, 0.256, 0.310)
Dy (0.198, 0.396, 0.013)
Dy (0.802, 0.604, 0.513)


Entry 4:
The following is a PBE calculation of Pm6Ir2Se3S after structural relaxation, from the Alexandria database.

Summary:
magnetic moment	0.0	μB/cell
total DFT energy (no corrections)	-78.49	eV/cell
raw formation energy	-1.474	eV per atom

Lattice parameters (Å, degrees): 4.109 8.553 9.482 105.46 102.51 90.00
Fractional positions:
Ir (0.167, 0.338, 0.335)
Ir (0.833, 0.662, 0.665)
Se (0.500, 0.500, 0.000)
Se (0.839, 0.158, 0.679)
Se (0.161, 0.842, 0.321)
Pm (0.009, 0.248, 0.019)
Pm (0.329, 0.425, 0.659)
Pm (0.671, 0.575, 0.341)
Pm (0.667, 0.110, 0.335)
Pm (0.991, 0.752, 0.981)
Pm (0.333, 0.890, 0.665)
S (0.500, 0.000, 0.000)